Density functional theory data (meta-GGA SCAN) for a PBEsol-optimized structure of TiAsPd.

The structure in CIF format:
```
data_TiAsPd
_cell_length_a 6.4974
_cell_length_b 6.4974
_cell_length_c 3.7684
_cell_angle_alpha 90.00
_cell_angle_beta 90.00
_cell_angle_gamma 120.00
_space_group_name_H-M_alt 'P -6 2 m'
_space_group_IT_number 189
_space_group_name_Hall 'P -6 -2'
loop_
_atom_site_label
_atom_site_type_symbol
_atom_site_fract_x
_atom_site_fract_y
_atom_site_fract_z
_atom_site_occupancy
Ti1 Ti 0.0000 0.5943 0.0000 1
As1 As 0.0000 0.0000 0.0000 1
As2 As 0.3333 0.6667 0.5000 1
Pd1 Pd 0.0000 0.2615 0.5000 1
```

As for the formation energy from the elements: -0.832 eV/atom. As for the density of states at the Fermi level: 4.40 states/eV per cell. Its total energy is -23.83 eV/atom.